Sm4ErZn5 after structural relaxation. Source: the Alexandria database, functional PBE-GGA.

Lattice parameters (Å, degrees): 3.6160 3.6160 18.1349 90.00 90.00 90.00
With the nearest neighbours (Å) after each atom.
Fractional coordinates of all 10 atoms:
Sm 0.0000 0.0000 0.1015  8 Zn 3.14-3.15
Sm 0.0000 0.0000 0.3036  8 Zn 3.15-3.17
Sm 0.0000 0.0000 0.6964  8 Zn 3.15-3.17
Sm 0.0000 0.0000 0.8985  8 Zn 3.14-3.15
Er 0.0000 0.0000 0.5000  8 Zn 3.06
Zn 0.5000 0.5000 0.0000  8 Sm 3.15
Zn 0.5000 0.5000 0.2017  8 Sm 3.14-3.15
Zn 0.5000 0.5000 0.4072  4 Er 3.06, 4 Sm 3.17, 1 Zn 3.37
Zn 0.5000 0.5000 0.5928  4 Er 3.06, 4 Sm 3.17, 1 Zn 3.37
Zn 0.5000 0.5000 0.7983  8 Sm 3.14-3.15

## Properties
Formation enthalpy at 0 K = -0.32 eV/atom


BaMgZr after structural relaxation. Source: the Alexandria database, functional PBE-GGA.

Lattice parameters (Å, degrees): 5.2927 5.2927 5.2927 60.00 60.00 60.00
With the nearest neighbours (Å) after each atom.
Fractional coordinates of all 3 atoms:
Ba 0.0000 0.0000 0.0000  4 Zr 3.24, 4 Mg 3.24
Mg 0.2500 0.2500 0.2500  4 Ba 3.24
Zr 0.7500 0.7500 0.7500  4 Ba 3.24

## Properties
Formation enthalpy at 0 K = 1.26 eV/atom
Energy above the most stable polymorph in this dataset = 1.025 eV per atom


ReB2H6 after structural relaxation. Source: the Alexandria database, functional PBE-GGA.

Lattice parameters (Å, degrees): 4.7414 4.7414 2.9263 107.87 107.87 74.11
With the nearest neighbours (Å) after each atom.
Fractional coordinates of all 9 atoms:
Re 0.0000 0.0000 0.0000  2 H 1.76
B 0.2482 0.2482 0.7474  2 H 1.28
B 0.7518 0.7518 0.2526  2 H 1.28
H 0.1958 0.5385 0.8657  1 B 1.28
H 0.2515 0.2515 0.2504  2 B 1.46
H 0.4615 0.8042 0.1343  1 B 1.28
H 0.5385 0.1958 0.8657  1 B 1.28
H 0.7485 0.7485 0.7496  2 B 1.46
H 0.8042 0.4615 0.1343  1 B 1.28

## Properties
Energy above the most stable polymorph in this dataset = 0.049 eV per atom


Re3As after structural relaxation. Source: the Alexandria database, functional PBE-GGA.

Lattice parameters (Å, degrees): 4.4144 4.4144 4.4144 60.00 60.00 60.00
With the nearest neighbours (Å) after each atom.
Fractional coordinates of all 4 atoms:
Re 0.0000 0.0000 0.0000  8 Re 2.70
Re 0.2500 0.2500 0.2500  4 As 2.70, 4 Re 2.70
Re 0.7500 0.7500 0.7500  4 As 2.70, 4 Re 2.70
As 0.5000 0.5000 0.5000  8 Re 2.70

## Properties
Formation enthalpy at 0 K = 0.47 eV/atom
Energy above the most stable polymorph in this dataset = 0.312 eV per atom


Pm2FeNi after structural relaxation. Source: the Alexandria database, functional PBE-GGA.

Lattice parameters (Å, degrees): 3.4782 3.4782 6.9353 90.00 90.00 90.00
With the nearest neighbours (Å) after each atom.
Fractional coordinates of all 4 atoms:
Pm 0.0000 0.0000 0.2503  4 Ni 3.01, 4 Fe 3.01
Pm 0.0000 0.0000 0.7497  4 Ni 3.01, 4 Fe 3.01
Fe 0.5000 0.5000 0.0000  8 Pm 3.01
Ni 0.5000 0.5000 0.5000  8 Pm 3.01

## Properties
Formation enthalpy at 0 K = 0.01 eV/atom


CeV2W after structural relaxation. Source: the Alexandria database, functional PBE-GGA.

Lattice parameters (Å, degrees): 3.0873 3.0873 7.4228 90.00 90.00 90.00
With the nearest neighbours (Å) after each atom.
Fractional coordinates of all 4 atoms:
Ce 0.0000 0.0000 0.0000  4 Ce 3.09, 8 V 3.14
V 0.5000 0.5000 0.3042  4 W 2.62, 1 V 2.91
V 0.5000 0.5000 0.6958  4 W 2.62, 1 V 2.91
W 0.0000 0.0000 0.5000  8 V 2.62

## Properties
Formation enthalpy at 0 K = 0.22 eV/atom